# Hf2H3

A relaxed structure of Hf2H3 (PBE-GGA, Alexandria via LeMat-Bulk).

Output
M_tot: 0.00 μB per cell
Density: 12.07 g cm⁻³
ΔE to the lowest computed polymorph: 104 meV per atom
E: -190.76 eV for the cell shown
Density of states at the Fermi level: 1.84 states/eV/f.u.

CIF file:
```
data_Hf2H3
_space_group_name_H-M_alt 'R -3 c'
_space_group_IT_number 167
_space_group_name_Hall '-R 3 2"c'
_cell_length_a 5.2541
_cell_length_b 5.2541
_cell_length_c 12.4351
_cell_angle_alpha 90.00
_cell_angle_beta 90.00
_cell_angle_gamma 120.00
loop_
_atom_site_label
_atom_site_fract_x
_atom_site_fract_y
_atom_site_fract_z
_atom_site_occupancy
Hf1 0.0000 0.0000 0.1285 1
H1 0.0000 0.2671 0.2500 1
```

# Zr5Au

A relaxed structure of Zr5Au (PBE-GGA, Alexandria via LeMat-Bulk).

Output
M_tot: 0.00 μB per cell
Density: 8.24 g cm⁻³
DFT formation energy: -0.15 eV/atom
ΔE to the lowest computed polymorph: 36 meV per atom
E: -93.81 eV for the cell shown
Density of states at the Fermi level: 7.86 states/eV/f.u.

CIF file:
```
data_Zr5Au
_space_group_name_H-M_alt 'C m m m'
_space_group_IT_number 65
_space_group_name_Hall '-C 2 2'
_cell_length_a 4.715
_cell_length_b 14.488
_cell_length_c 3.852
_cell_angle_alpha 90.00
_cell_angle_beta 90.00
_cell_angle_gamma 90.00
loop_
_atom_site_label
_atom_site_fract_x
_atom_site_fract_y
_atom_site_fract_z
_atom_site_occupancy
Zr1 0.000 0.000 0.000 1
Zr2 0.000 0.175 0.500 1
Zr3 0.000 0.344 0.000 1
Au1 0.000 0.500 0.500 1
```

# Be3InB

A relaxed structure of Be3InB (PBE-GGA, Alexandria via LeMat-Bulk).

Output
M_tot: 0.00 μB per cell
Density: 2.79 g cm⁻³
DFT formation energy: 1.97 eV/atom
ΔE to the lowest computed polymorph: 1496 meV per atom
E: -10.74 eV for the cell shown
Density of states at the Fermi level: 2.30 states/eV/f.u.

CIF file:
```
data_Be3InB
_space_group_name_H-M_alt 'P m -3 m'
_space_group_IT_number 221
_space_group_name_Hall '-P 4 2 3'
_cell_length_a 4.497
_cell_length_b 4.497
_cell_length_c 4.497
_cell_angle_alpha 90.00
_cell_angle_beta 90.00
_cell_angle_gamma 90.00
loop_
_atom_site_label
_atom_site_fract_x
_atom_site_fract_y
_atom_site_fract_z
_atom_site_occupancy
Be1 0.000 0.000 0.500 1
In1 0.000 0.000 0.000 1
B1 0.500 0.500 0.500 1
```

# CdCuOs2

A relaxed structure of CdCuOs2 (PBE-GGA, Alexandria via LeMat-Bulk).

Output
M_tot: 0.00 μB per cell
Density: 14.76 g cm⁻³
DFT formation energy: 0.71 eV/atom
E: -24.63 eV for the cell shown
Density of states at the Fermi level: 3.93 states/eV/f.u.

CIF file:
```
data_CdCuOs2
_space_group_name_H-M_alt 'P m m m'
_space_group_IT_number 47
_cell_length_a 2.694
_cell_length_b 4.167
_cell_length_c 5.576
_cell_angle_alpha 90.00
_cell_angle_beta 90.00
_cell_angle_gamma 90.00
loop_
_space_group_symop_operation_xyz
'x,y,z'
'-x,-y,-z'
'-x,-y,z'
'x,y,-z'
'x,-y,-z'
'-x,y,z'
'-x,y,-z'
'x,-y,z'
loop_
_atom_site_label
_atom_site_fract_x
_atom_site_fract_y
_atom_site_fract_z
_atom_site_occupancy
Cd1 0.000 0.000 0.000 1
Cu1 0.000 0.000 0.500 1
Os1 0.500 0.500 0.287 1
```

# Pu2ThAg

A relaxed structure of Pu2ThAg (PBE-GGA, Alexandria via LeMat-Bulk).

Output
M_tot: 53.02 μB per cell
Density: 13.49 g cm⁻³
DFT formation energy: 0.24 eV/atom
ΔE to the lowest computed polymorph: 103 meV per atom
E: -151.88 eV for the cell shown
Density of states at the Fermi level: 15.73 states/eV/f.u.

CIF file:
```
data_Pu2ThAg
_space_group_name_H-M_alt 'F m -3 m'
_space_group_IT_number 225
_space_group_name_Hall '-F 4 2 3'
_cell_length_a 7.415
_cell_length_b 7.415
_cell_length_c 7.415
_cell_angle_alpha 90.00
_cell_angle_beta 90.00
_cell_angle_gamma 90.00
loop_
_atom_site_label
_atom_site_fract_x
_atom_site_fract_y
_atom_site_fract_z
_atom_site_occupancy
Pu1 0.250 0.250 0.250 1
Th1 0.000 0.000 0.000 1
Ag1 0.000 0.000 0.500 1
```

# Zr3TiZn2N

A relaxed structure of Zr3TiZn2N (PBE-GGA, Alexandria via LeMat-Bulk).

Output
M_tot: 0.00 μB per cell
Density: 6.18 g cm⁻³
ΔE_f (raw): -0.560 eV per atom
E: -96.67 eV for the cell shown
Density of states at the Fermi level: 5.96 states/eV/f.u.

CIF file:
```
data_Zr3TiZn2N
_space_group_name_H-M_alt 'I m m m'
_space_group_IT_number 71
_space_group_name_Hall '-I 2 2'
_cell_length_a 4.082
_cell_length_b 4.336
_cell_length_c 14.169
_cell_angle_alpha 90.00
_cell_angle_beta 90.00
_cell_angle_gamma 90.00
loop_
_atom_site_label
_atom_site_fract_x
_atom_site_fract_y
_atom_site_fract_z
_atom_site_occupancy
Zr1 0.000 0.000 0.000 1
Zr2 0.000 0.500 0.167 1
Ti1 0.000 0.000 0.500 1
Zn1 0.000 0.500 0.365 1
N1 0.000 0.500 0.000 1
```